Record 1
A relaxed Sm4ThTe4 crystal, computed with PBE-GGA.

Cell: 8.8507 8.8507 8.8507 Å, 133.17 133.17 68.39°
Last column: nearest neighbours and their distance in Å.
Positions (direct):
Sm1 0.0000 0.5000 0.5000  4 Te 3.12
Sm2 0.2482 0.2482 0.0000  4 Te 3.02-3.08
Sm3 0.5000 0.0000 0.5000  4 Te 3.12
Sm4 0.7518 0.7518 0.0000  4 Te 3.02-3.08
Th1 0.0000 0.0000 0.0000  4 Te 3.17, 4 Sm 3.52
Te1 0.1265 0.6155 0.0000  4 Sm 3.02-3.12, 1 Th 3.17
Te2 0.3845 0.3845 0.5110  4 Sm 3.02-3.12, 1 Th 3.17
Te3 0.6155 0.1265 0.0000  4 Sm 3.02-3.12, 1 Th 3.17
Te4 0.8735 0.8735 0.4890  4 Sm 3.02-3.12, 1 Th 3.17

Results
Magnetization ... 0.000 μB/atom
Formation energy (no corrections) ... -724 meV per atom



Record 2
A relaxed SrCrBr2 crystal, computed with PBE-GGA.

Cell: 8.7781 4.6970 6.8131 Å, 90.00 109.89 90.00°
Last column: nearest neighbours and their distance in Å.
Positions (direct):
Sr1 0.0000 0.0000 0.0000  6 Br 3.13-3.20
Sr2 0.5000 0.5000 0.0000  6 Br 3.13-3.20
Cr1 0.0000 0.5000 0.5000  6 Br 3.22-3.41
Cr2 0.5000 0.0000 0.5000  6 Br 3.22-3.41
Br1 0.2313 0.5000 0.2208  3 Sr 3.13-3.20, 3 Cr 3.22-3.41
Br2 0.2687 0.0000 0.7792  3 Sr 3.13-3.20, 3 Cr 3.22-3.41
Br3 0.7313 0.0000 0.2208  3 Sr 3.13-3.20, 3 Cr 3.22-3.41
Br4 0.7687 0.5000 0.7792  3 Sr 3.13-3.20, 3 Cr 3.22-3.41

Results
Magnetization ... 1.465 μB/atom
Formation energy (no corrections) ... -629 meV per atom



Record 3
A relaxed TcTeSe2 crystal, computed with PBE-GGA.

Cell: 3.2033 4.8527 11.3985 Å, 90.00 90.00 90.00°
Last column: nearest neighbours and their distance in Å.
Positions (direct):
Tc1 0.0000 0.0000 0.0000  4 Se 2.55
Tc2 0.5000 0.5000 0.5000  4 Se 2.55
Te1 0.0000 0.0000 0.5000  4 Tc 2.91, 4 Se 3.14, 2 Te 3.20
Te2 0.5000 0.5000 0.0000  4 Tc 2.91, 4 Se 3.14, 2 Te 3.20
Se1 0.0000 0.5000 0.3254  2 Tc 2.55
Se2 0.0000 0.5000 0.6746  2 Tc 2.55
Se3 0.5000 0.0000 0.1746  2 Tc 2.55
Se4 0.5000 0.0000 0.8254  2 Tc 2.55

Results
Magnetization ... 0.000 μB/atom
Formation energy (no corrections) ... 160 meV per atom



Record 4
A relaxed Pr12ScPb3 crystal, computed with PBE-GGA.

Cell: 5.0434 5.0434 20.3290 Å, 90.00 90.00 90.00°
Last column: nearest neighbours and their distance in Å.
Positions (direct):
Pr1 0.0000 0.0000 0.0000  8 Pr 3.56, 4 Pb 3.57
Pr2 0.0000 0.0000 0.2481  4 Pb 3.57, 8 Pr 3.57-3.59
Pr3 0.0000 0.0000 0.5000  4 Sc 3.57, 8 Pr 3.60
Pr4 0.0000 0.0000 0.7519  4 Pb 3.57, 8 Pr 3.57-3.59
Pr5 0.0000 0.5000 0.1236  4 Pb 3.56-3.57, 8 Pr 3.56-3.57
Pr6 0.0000 0.5000 0.3736  8 Pr 3.57-3.60, 2 Pb 3.59, 2 Sc 3.60
Pr7 0.0000 0.5000 0.6264  8 Pr 3.57-3.60, 2 Pb 3.59, 2 Sc 3.60
Pr8 0.0000 0.5000 0.8764  4 Pb 3.56-3.57, 8 Pr 3.56-3.57
Pr9 0.5000 0.0000 0.1236  4 Pb 3.56-3.57, 8 Pr 3.56-3.57
Pr10 0.5000 0.0000 0.3736  8 Pr 3.57-3.60, 2 Pb 3.59, 2 Sc 3.60
Pr11 0.5000 0.0000 0.6264  8 Pr 3.57-3.60, 2 Pb 3.59, 2 Sc 3.60
Pr12 0.5000 0.0000 0.8764  4 Pb 3.56-3.57, 8 Pr 3.56-3.57
Sc1 0.5000 0.5000 0.5000  12 Pr 3.57-3.60
Pb1 0.5000 0.5000 0.0000  12 Pr 3.56-3.57
Pb2 0.5000 0.5000 0.2478  12 Pr 3.57-3.59
Pb3 0.5000 0.5000 0.7522  12 Pr 3.57-3.59

Results
Magnetization ... 0.000 μB/atom
E_form ... -3.8 eV per formula unit



Record 5
A relaxed LiBi2Pt2 crystal, computed with PBE-GGA.

Cell: 4.8330 4.8330 11.3918 Å, 90.00 90.00 90.00°
Last column: nearest neighbours and their distance in Å.
Positions (direct):
Li1 0.0000 0.0000 0.0000  8 Pt 3.74, 10 Bi 3.76-4.13
Li2 0.5000 0.5000 0.5000  8 Pt 3.74, 10 Bi 3.76-4.13
Bi1 0.0000 0.0000 0.3624  4 Pt 2.73
Bi2 0.0000 0.0000 0.6376  4 Pt 2.73
Bi3 0.5000 0.5000 0.1376  4 Pt 2.73
Bi4 0.5000 0.5000 0.8624  4 Pt 2.73
Pt1 0.0000 0.5000 0.2500  4 Bi 2.73
Pt2 0.0000 0.5000 0.7500  4 Bi 2.73
Pt3 0.5000 0.0000 0.2500  4 Bi 2.73
Pt4 0.5000 0.0000 0.7500  4 Bi 2.73

Results
Magnetization ... 0.000 μB/atom
E_form ... -0.5 eV per formula unit



Record 6
A relaxed Si3Sb crystal, computed with PBE-GGA.

Cell: 5.3536 5.3536 5.3536 Å, 90.00 90.00 90.00°
Last column: nearest neighbours and their distance in Å.
Positions (direct):
Si1 0.0000 0.0000 0.5000  2 Sb 2.68
Si2 0.0000 0.5000 0.0000  2 Sb 2.68
Si3 0.5000 0.0000 0.0000  2 Sb 2.68
Sb1 0.0000 0.0000 0.0000  6 Si 2.68

Results
Magnetization ... 0.000 μB/atom
Formation energy (no corrections) ... 1746 meV per atom



Number 1: electronic total energy -45.4 eV/cell. Number 2: electronic total energy -34.3 eV/cell. Number 3: electronic total energy -39.7 eV/cell. Number 4: electronic total energy -78.6 eV/cell. Number 5: electronic total energy -44.4 eV/cell. Number 6: electronic total energy -13.4 eV/cell.